1.
# NbCrAs2C (PBE, relaxed)
data_NbCrAs2C
_chemical_formula_sum 'Nb1 Cr1 As2 C1'
_cell_length_a 4.9491
_cell_length_b 4.9491
_cell_length_c 4.5887
_cell_angle_alpha 90.00
_cell_angle_beta 90.00
_cell_angle_gamma 90.00
_symmetry_space_group_name_H-M 'P 4/m m m'
_symmetry_Int_Tables_number 123
_symmetry_space_group_name_Hall '-P 4 2'
loop_
_atom_site_label
_atom_site_fract_x
_atom_site_fract_y
_atom_site_fract_z
Nb1 0.0000 0.0000 0.0000
Cr1 0.0000 0.0000 0.5000
As1 0.0000 0.5000 0.0000
C1 0.5000 0.5000 0.5000
# Uncorrected energy (eV per atom): -5.448
# Calculated density (g cm⁻³): 4.53
# ΔH_f (0 K) (eV per atom): 2.20
# Magnetization (μB per formula unit): 1.508

2.
# CrAsPd2C (PBE, relaxed)
data_CrAsPd2C
_chemical_formula_sum 'Cr1 As1 Pd2 C1'
_cell_length_a 4.6176
_cell_length_b 4.6176
_cell_length_c 4.5099
_cell_angle_alpha 90.00
_cell_angle_beta 90.00
_cell_angle_gamma 90.00
_symmetry_space_group_name_H-M 'P 4/m m m'
_symmetry_Int_Tables_number 123
_symmetry_space_group_name_Hall '-P 4 2'
loop_
_atom_site_label
_atom_site_fract_x
_atom_site_fract_y
_atom_site_fract_z
Cr1 0.0000 0.0000 0.0000
As1 0.0000 0.0000 0.5000
Pd1 0.0000 0.5000 0.0000
C1 0.5000 0.5000 0.5000
# Uncorrected energy (eV per atom): -4.814
# Calculated density (g cm⁻³): 6.07
# ΔH_f (0 K) (eV per atom): 1.96
# Magnetization (μB per formula unit): 2.148

3.
# CrAs2CSe (PBE, relaxed)
data_CrAs2CSe
_chemical_formula_sum 'Cr1 As2 C1 Se1'
_cell_length_a 5.0611
_cell_length_b 5.0611
_cell_length_c 4.4265
_cell_angle_alpha 90.00
_cell_angle_beta 90.00
_cell_angle_gamma 90.00
_symmetry_space_group_name_H-M 'P 4/m m m'
_symmetry_Int_Tables_number 123
_symmetry_space_group_name_Hall '-P 4 2'
loop_
_atom_site_label
_atom_site_fract_x
_atom_site_fract_y
_atom_site_fract_z
Cr1 0.0000 0.0000 0.0000
As1 0.0000 0.5000 0.5000
C1 0.5000 0.5000 0.0000
Se1 0.0000 0.0000 0.5000
# Uncorrected energy (eV per atom): -4.025
# Calculated density (g cm⁻³): 4.29
# ΔE to the lowest computed polymorph (eV/f.u.): 4.84
# Energy relative to the elements, uncorrected (meV per atom): 2300.9
# Magnetization (μB per formula unit): 0.823

4.
# CrAs2CSe (PBE, relaxed)
data_CrAs2CSe
_chemical_formula_sum 'Cr1 As2 C1 Se1'
_cell_length_a 4.2500
_cell_length_b 4.2500
_cell_length_c 4.2975
_cell_angle_alpha 90.00
_cell_angle_beta 90.00
_cell_angle_gamma 90.00
_symmetry_space_group_name_H-M 'P 4/m m m'
_symmetry_Int_Tables_number 123
_symmetry_space_group_name_Hall '-P 4 2'
loop_
_atom_site_label
_atom_site_fract_x
_atom_site_fract_y
_atom_site_fract_z
Cr1 0.0000 0.0000 0.0000
As1 0.0000 0.5000 0.5000
C1 0.5000 0.5000 0.5000
Se1 0.5000 0.5000 0.0000
# Uncorrected energy (eV per atom): -4.994
# Calculated density (g cm⁻³): 6.26
# ΔE to the lowest computed polymorph (eV/f.u.): 0.00
# Energy relative to the elements, uncorrected (meV per atom): 1332.2
# Magnetization (μB per formula unit): 0.151

5.
# CrAs2CSe (PBE, relaxed)
data_CrAs2CSe
_chemical_formula_sum 'Cr1 As2 C1 Se1'
_cell_length_a 4.6560
_cell_length_b 4.6560
_cell_length_c 4.5847
_cell_angle_alpha 90.00
_cell_angle_beta 90.00
_cell_angle_gamma 90.00
_symmetry_space_group_name_H-M 'P 4/m m m'
_symmetry_Int_Tables_number 123
_symmetry_space_group_name_Hall '-P 4 2'
loop_
_atom_site_label
_atom_site_fract_x
_atom_site_fract_y
_atom_site_fract_z
Cr1 0.0000 0.0000 0.0000
As1 0.0000 0.5000 0.0000
C1 0.5000 0.5000 0.5000
Se1 0.0000 0.0000 0.5000
# Uncorrected energy (eV per atom): -4.789
# Calculated density (g cm⁻³): 4.89
# ΔE to the lowest computed polymorph (eV/f.u.): 1.02
# Energy relative to the elements, uncorrected (meV per atom): 1536.7
# Magnetization (μB per formula unit): 1.852

6.
# Cs2AsC (PBE, relaxed)
data_Cs2AsC
_chemical_formula_sum 'Cs8 As4 C4'
_cell_length_a 13.2772
_cell_length_b 13.2772
_cell_length_c 4.0770
_cell_angle_alpha 90.00
_cell_angle_beta 90.00
_cell_angle_gamma 90.00
_symmetry_space_group_name_H-M 'I -4 2 d'
_symmetry_Int_Tables_number 122
_symmetry_space_group_name_Hall 'I -4 2bw'
loop_
_atom_site_label
_atom_site_fract_x
_atom_site_fract_y
_atom_site_fract_z
Cs1 0.0250 0.7500 0.1250
As1 0.0000 0.0000 0.5000
C1 0.0000 0.0000 0.0000
# Uncorrected energy (eV per atom): -3.279
# Calculated density (g cm⁻³): 3.26
# ΔH_f (0 K) (eV per atom): 0.62
# Magnetization (μB per formula unit): 0.000